Entry P
The following is a PBE calculation of a relaxed ZrTcN2 crystal, from the Alexandria database.

Cell and atoms, written as CIF:
```
data_ZrTcN2
_chemical_formula_sum 'Zr1 Tc1 N2'
_cell_length_a 6.3728
_cell_length_b 6.3728
_cell_length_c 6.3728
_cell_angle_alpha 29.65
_cell_angle_beta 29.65
_cell_angle_gamma 29.65
_space_group_name_H-M_alt 'P 1'
_space_group_IT_number 1
loop_
_space_group_symop_operation_xyz
'x,y,z'
loop_
_atom_site_label
_atom_site_type_symbol
_atom_site_fract_x
_atom_site_fract_y
_atom_site_fract_z
Tc1 Tc 0.0000 0.0000 0.0000
N1 N 0.8957 0.8957 0.8957
N2 N 0.1043 0.1043 0.1043
Zr1 Zr 0.5000 0.5000 0.5000
```

Results
Fermi-level density of states (states/eV per atom): 0.768
Spin magnetization (μB per formula unit): 0.76



Entry Q
The following is a PBE calculation of a relaxed ZrTcN2 crystal, from the Alexandria database.

Cell and atoms, written as CIF:
```
data_ZrTcN2
_chemical_formula_sum 'Zr1 Tc1 N2'
_cell_length_a 3.1745
_cell_length_b 3.1745
_cell_length_c 5.6703
_cell_angle_alpha 73.74
_cell_angle_beta 73.74
_cell_angle_gamma 60.00
_space_group_name_H-M_alt 'P 1'
_space_group_IT_number 1
loop_
_space_group_symop_operation_xyz
'x,y,z'
loop_
_atom_site_label
_atom_site_type_symbol
_atom_site_fract_x
_atom_site_fract_y
_atom_site_fract_z
Zr1 Zr 0.6670 0.6670 0.9991
Tc1 Tc 0.4836 0.4836 0.5491
N1 N 0.0891 0.0891 0.7328
N2 N 0.2603 0.2603 0.2190
```

Results
Fermi-level density of states (states/eV per atom): 0.445
Spin magnetization (μB per formula unit): 0.00



Which of them is least stable? Easy: entry P.



Entry P
The following is a PBE calculation of a relaxed ZrTcN2 crystal, from the Alexandria database.

Cell and atoms, written as CIF:
```
data_ZrTcN2
_chemical_formula_sum 'Zr1 Tc1 N2'
_cell_length_a 3.9256
_cell_length_b 3.9256
_cell_length_c 3.9256
_cell_angle_alpha 60.00
_cell_angle_beta 60.00
_cell_angle_gamma 60.00
_space_group_name_H-M_alt 'P 1'
_space_group_IT_number 1
loop_
_space_group_symop_operation_xyz
'x,y,z'
loop_
_atom_site_label
_atom_site_type_symbol
_atom_site_fract_x
_atom_site_fract_y
_atom_site_fract_z
N1 N 0.7500 0.7500 0.7500
N2 N 0.2500 0.2500 0.2500
Zr1 Zr 0.0000 0.0000 0.0000
Tc1 Tc 0.5000 0.5000 0.5000
```

Results
Fermi-level density of states (states/eV per atom): 0.379
Spin magnetization (μB per formula unit): 0.99



Entry Q
The following is a PBE calculation of a relaxed ZrTcN2 crystal, from the Alexandria database.

Cell and atoms, written as CIF:
```
data_ZrTcN2
_chemical_formula_sum 'Zr2 Tc2 N4'
_cell_length_a 4.6299
_cell_length_b 4.6299
_cell_length_c 6.0561
_cell_angle_alpha 67.53
_cell_angle_beta 67.53
_cell_angle_gamma 90.00
_space_group_name_H-M_alt 'P 1'
_space_group_IT_number 1
loop_
_space_group_symop_operation_xyz
'x,y,z'
loop_
_atom_site_label
_atom_site_type_symbol
_atom_site_fract_x
_atom_site_fract_y
_atom_site_fract_z
N1 N 0.8750 0.9082 0.7500
N2 N 0.3750 0.3418 0.7500
N3 N 0.0918 0.6250 0.2500
N4 N 0.6582 0.1250 0.2500
Zr1 Zr 0.5000 0.5000 0.0000
Zr2 Zr 0.2500 0.7500 0.5000
Tc1 Tc 0.7500 0.2500 0.5000
Tc2 Tc 0.0000 0.0000 0.0000
```

Results
Fermi-level density of states (states/eV per atom): 0.504
Spin magnetization (μB per formula unit): 0.00



Which of them is least stable? Easy: entry P.



Entry P
The following is a PBE calculation of a relaxed ZrTc3N crystal, from the Alexandria database.

Cell and atoms, written as CIF:
```
data_ZrTc3N
_chemical_formula_sum 'Zr1 Tc3 N1'
_cell_length_a 4.1360
_cell_length_b 4.1360
_cell_length_c 4.1360
_cell_angle_alpha 90.00
_cell_angle_beta 90.00
_cell_angle_gamma 90.00
_space_group_name_H-M_alt 'P 1'
_space_group_IT_number 1
loop_
_space_group_symop_operation_xyz
'x,y,z'
loop_
_atom_site_label
_atom_site_type_symbol
_atom_site_fract_x
_atom_site_fract_y
_atom_site_fract_z
Tc1 Tc 0.5000 0.0000 0.0000
Tc2 Tc 0.0000 0.0000 0.5000
Tc3 Tc 0.0000 0.5000 0.0000
N1 N 0.0000 0.0000 0.0000
Zr1 Zr 0.5000 0.5000 0.5000
```

Results
Fermi-level density of states (states/eV per atom): 0.861
Spin magnetization (μB per formula unit): 0.00



Entry Q
The following is a PBE calculation of a relaxed ZrTc3N crystal, from the Alexandria database.

Cell and atoms, written as CIF:
```
data_ZrTc3N
_chemical_formula_sum 'Zr1 Tc3 N1'
_cell_length_a 4.8144
_cell_length_b 4.8144
_cell_length_c 4.8144
_cell_angle_alpha 90.00
_cell_angle_beta 90.00
_cell_angle_gamma 90.00
_space_group_name_H-M_alt 'P 1'
_space_group_IT_number 1
loop_
_space_group_symop_operation_xyz
'x,y,z'
loop_
_atom_site_label
_atom_site_type_symbol
_atom_site_fract_x
_atom_site_fract_y
_atom_site_fract_z
Tc1 Tc 0.0000 0.0000 0.5000
Tc2 Tc 0.0000 0.5000 0.0000
Tc3 Tc 0.5000 0.0000 0.0000
N1 N 0.5000 0.5000 0.5000
Zr1 Zr 0.0000 0.0000 0.0000
```

Results
Fermi-level density of states (states/eV per atom): 1.422
Spin magnetization (μB per formula unit): 1.62



Which of them is least stable? Easy: entry Q.



Entry P
The following is a PBE calculation of a relaxed TeN crystal, from the Alexandria database.

Cell and atoms, written as CIF:
```
data_TeN
_chemical_formula_sum 'Te6 N6'
_cell_length_a 3.3004
_cell_length_b 12.8449
_cell_length_c 6.2249
_cell_angle_alpha 90.00
_cell_angle_beta 90.00
_cell_angle_gamma 90.00
_space_group_name_H-M_alt 'P 1'
_space_group_IT_number 1
loop_
_space_group_symop_operation_xyz
'x,y,z'
loop_
_atom_site_label
_atom_site_type_symbol
_atom_site_fract_x
_atom_site_fract_y
_atom_site_fract_z
N1 N 0.5000 0.6739 0.1453
N2 N 0.0000 0.5000 0.0174
N3 N 0.5000 0.8261 0.6453
N4 N 0.5000 0.1739 0.6453
N5 N 0.0000 0.0000 0.5174
N6 N 0.5000 0.3261 0.1453
Te1 Te 0.5000 0.5000 0.2077
Te2 Te 0.0000 0.7373 0.7431
Te3 Te 0.0000 0.2373 0.2431
Te4 Te 0.5000 0.0000 0.7077
Te5 Te 0.0000 0.2627 0.7431
Te6 Te 0.0000 0.7627 0.2431
```

Results
Fermi-level density of states (states/eV per atom): 0.141
Spin magnetization (μB per formula unit): 0.00



Entry Q
The following is a PBE calculation of a relaxed TeN crystal, from the Alexandria database.

Cell and atoms, written as CIF:
```
data_TeN
_chemical_formula_sum 'Te8 N8'
_cell_length_a 8.1574
_cell_length_b 8.1574
_cell_length_c 8.1574
_cell_angle_alpha 90.00
_cell_angle_beta 90.00
_cell_angle_gamma 90.00
_space_group_name_H-M_alt 'P 1'
_space_group_IT_number 1
loop_
_space_group_symop_operation_xyz
'x,y,z'
loop_
_atom_site_label
_atom_site_type_symbol
_atom_site_fract_x
_atom_site_fract_y
_atom_site_fract_z
N1 N 0.8758 0.8758 0.1242
N2 N 0.8758 0.1242 0.8758
N3 N 0.6242 0.6242 0.6242
N4 N 0.3758 0.6242 0.3758
N5 N 0.1242 0.1242 0.1242
N6 N 0.6242 0.3758 0.3758
N7 N 0.1242 0.8758 0.8758
N8 N 0.3758 0.3758 0.6242
Te1 Te 0.6397 0.6397 0.3603
Te2 Te 0.1397 0.8603 0.1397
Te3 Te 0.8603 0.8603 0.8603
Te4 Te 0.6397 0.3603 0.6397
Te5 Te 0.3603 0.3603 0.3603
Te6 Te 0.3603 0.6397 0.6397
Te7 Te 0.1397 0.1397 0.8603
Te8 Te 0.8603 0.1397 0.1397
```

Results
Fermi-level density of states (states/eV per atom): 0.702
Spin magnetization (μB per formula unit): 0.52



Entry R
The following is a PBE calculation of a relaxed TeN crystal, from the Alexandria database.

Cell and atoms, written as CIF:
```
data_TeN
_chemical_formula_sum 'Te2 N2'
_cell_length_a 3.7892
_cell_length_b 3.7892
_cell_length_c 8.6449
_cell_angle_alpha 90.00
_cell_angle_beta 90.00
_cell_angle_gamma 120.00
_space_group_name_H-M_alt 'P 1'
_space_group_IT_number 1
loop_
_space_group_symop_operation_xyz
'x,y,z'
loop_
_atom_site_label
_atom_site_type_symbol
_atom_site_fract_x
_atom_site_fract_y
_atom_site_fract_z
Te1 Te 0.6667 0.3333 0.2500
Te2 Te 0.3333 0.6667 0.7500
N1 N 0.3333 0.6667 0.2500
N2 N 0.6667 0.3333 0.7500
```

Results
Fermi-level density of states (states/eV per atom): 0.387
Spin magnetization (μB per formula unit): 0.00



Entry S
The following is a PBE calculation of a relaxed TeN crystal, from the Alexandria database.

Cell and atoms, written as CIF:
```
data_TeN
_chemical_formula_sum 'Te6 N6'
_cell_length_a 9.9307
_cell_length_b 9.9307
_cell_length_c 3.0975
_cell_angle_alpha 90.00
_cell_angle_beta 90.00
_cell_angle_gamma 120.00
_space_group_name_H-M_alt 'P 1'
_space_group_IT_number 1
loop_
_space_group_symop_operation_xyz
'x,y,z'
loop_
_atom_site_label
_atom_site_type_symbol
_atom_site_fract_x
_atom_site_fract_y
_atom_site_fract_z
N1 N 0.6991 0.7101 0.7500
N2 N 0.2899 0.9889 0.7500
N3 N 0.7101 0.0111 0.2500
N4 N 0.0111 0.3009 0.7500
N5 N 0.3009 0.2899 0.2500
N6 N 0.9889 0.6991 0.2500
Te1 Te 0.4107 0.1608 0.2500
Te2 Te 0.1608 0.7501 0.7500
Te3 Te 0.2499 0.4107 0.7500
Te4 Te 0.8392 0.2499 0.2500
Te5 Te 0.7501 0.5893 0.2500
Te6 Te 0.5893 0.8392 0.7500
```

Results
Fermi-level density of states (states/eV per atom): 0.248
Spin magnetization (μB per formula unit): 0.00



Which of them is least stable? Easy: entry R.